(1)
# LiUAsPt

Crystalline LiUAsPt at its relaxed geometry (PBE-GGA, Alexandria).

Cell and atoms, written as POSCAR:
```
LiUAsPt
1.0
4.748 0.000 0.000
2.374 4.112 0.000
2.374 1.371 3.877
As U Pt Li
1 1 1 1
direct
0.500 0.500 0.500
0.250 0.250 0.250
0.000 0.000 0.000
0.750 0.750 0.750
```

## Properties
- Total magnetic moment: 2.0 μB per cell
- Volume: 75.7 Å³/cell
- Energy of formation from the pure elements: -0.5805 eV/atom
- Electronic total energy: -26.2 eV/cell
- DOS at the Fermi energy: 6.78 states/eV/f.u.

(2)
# LiVAsPt

Crystalline LiVAsPt at its relaxed geometry (PBE-GGA, Alexandria).

Cell and atoms, written as POSCAR:
```
LiVAsPt
1.0
-2.366 0.129 3.648
0.916 -2.703 3.284
1.745 1.550 3.671
As Li Pt V
1 1 1 1
direct
0.750 0.750 0.750
0.000 0.000 0.000
0.250 0.250 0.250
0.500 0.500 0.500
```

## Properties
- Total magnetic moment: 1.7 μB per cell
- Volume: 58.2 Å³/cell
- Energy of formation from the pure elements: -0.4120 eV/atom
- Electronic total energy: -23.4 eV/cell
- DOS at the Fermi energy: 3.14 states/eV/f.u.

(3)
# LiY2AsPt

Crystalline LiY2AsPt at its relaxed geometry (PBE-GGA, Alexandria).

Cell and atoms, written as POSCAR:
```
LiY2AsPt
1.0
5.370 0.000 0.000
0.000 4.320 0.000
0.000 0.000 5.370
Y As Pt Li
2 1 1 1
direct
0.000 0.000 0.500
0.500 0.000 0.000
0.000 0.000 0.000
0.500 0.500 0.500
0.000 0.500 0.000
```

## Properties
- Total magnetic moment: 0.0 μB per cell
- Volume: 124.6 Å³/cell
- Energy of formation from the pure elements: -0.4957 eV/atom
- Electronic total energy: -28.0 eV/cell
- DOS at the Fermi energy: 5.65 states/eV/f.u.

(4)
# LiZnAsPt

Crystalline LiZnAsPt at its relaxed geometry (PBE-GGA, Alexandria).

Cell and atoms, written as POSCAR:
```
LiZnAsPt
1.0
-3.996 0.210 -1.824
-3.513 -1.420 2.231
-2.958 2.882 1.510
As Zn Pt Li
1 1 1 1
direct
0.500 0.500 0.500
0.000 0.000 0.000
0.750 0.750 0.750
0.250 0.250 0.250
```

## Properties
- Total magnetic moment: 0.0 μB per cell
- Volume: 60.1 Å³/cell
- Energy of formation from the pure elements: -0.4304 eV/atom
- Electronic total energy: -15.6 eV/cell
- DOS at the Fermi energy: 1.01 states/eV/f.u.

(5)
# Li2PuAs

Crystalline Li2PuAs at its relaxed geometry (PBE-GGA, Alexandria).

Cell and atoms, written as POSCAR:
```
Li2PuAs
1.0
-0.367 -2.939 -0.106
2.221 -1.800 0.780
-2.808 -1.508 10.147
As Li Pu
1 2 1
direct
0.500 0.500 0.500
0.101 0.101 0.696
0.899 0.899 0.304
0.000 0.000 0.000
```

## Properties
- Total magnetic moment: 5.0 μB per cell
- Volume: 79.9 Å³/cell
- Energy of formation from the pure elements: 0.0516 eV/atom
- Electronic total energy: -22.6 eV/cell
- DOS at the Fermi energy: 7.70 states/eV/f.u.

(6)
# Li2Pu2As3

Crystalline Li2Pu2As3 at its relaxed geometry (PBE-GGA, Alexandria).

Cell and atoms, written as POSCAR:
```
Li2Pu2As3
1.0
-5.175 -0.650 -5.832
-2.565 -3.906 -6.276
-9.032 -7.253 0.098
Li Pu As
4 4 6
direct
0.954 0.954 0.331
0.046 0.046 0.669
0.581 0.581 0.349
0.419 0.419 0.651
0.733 0.733 0.671
0.267 0.267 0.329
0.606 0.606 0.051
0.394 0.394 0.949
0.918 0.918 0.129
0.082 0.082 0.871
0.838 0.838 0.823
0.162 0.162 0.177
0.633 0.633 0.522
0.367 0.367 0.478
```

## Properties
- Total magnetic moment: 20.0 μB per cell
- Volume: 297.8 Å³/cell
- Energy of formation from the pure elements: -0.8158 eV/atom
- Electronic total energy: -104.3 eV/cell
- DOS at the Fermi energy: 19.25 states/eV/f.u.

(7)
# Li3PuAs2

Crystalline Li3PuAs2 at its relaxed geometry (PBE-GGA, Alexandria).

Cell and atoms, written as POSCAR:
```
Li3PuAs2
1.0
4.301 0.000 0.000
0.000 6.874 0.000
0.000 0.000 7.764
Li Pu As
6 2 4
direct
0.000 0.491 0.912
0.000 0.991 0.088
0.500 0.646 0.149
0.500 0.146 0.851
0.000 0.356 0.291
0.000 0.856 0.709
0.500 0.510 0.544
0.500 0.010 0.456
0.500 0.759 0.837
0.500 0.259 0.163
0.000 0.238 0.637
0.000 0.738 0.363
```

## Properties
- Total magnetic moment: 10.0 μB per cell
- Volume: 229.5 Å³/cell
- Energy of formation from the pure elements: -0.7504 eV/atom
- Electronic total energy: -67.8 eV/cell
- DOS at the Fermi energy: 8.66 states/eV/f.u.

(8)
# Li5Pu4As6

Crystalline Li5Pu4As6 at its relaxed geometry (PBE-GGA, Alexandria).

Cell and atoms, written as POSCAR:
```
Li5Pu4As6
1.0
4.285 0.000 0.000
-2.142 9.454 0.000
0.000 0.000 15.079
Li Pu As
10 8 12
direct
0.439 0.878 0.669
0.561 0.122 0.169
0.160 0.320 0.627
0.840 0.680 0.127
0.654 0.308 0.490
0.346 0.692 0.990
0.304 0.608 0.625
0.696 0.392 0.125
0.339 0.679 0.263
0.661 0.321 0.763
0.970 0.940 0.262
0.030 0.060 0.762
0.167 0.335 0.305
0.833 0.665 0.805
0.827 0.654 0.448
0.173 0.346 0.948
0.017 0.035 0.504
0.983 0.965 0.004
0.769 0.538 0.271
0.431 0.861 0.403
0.773 0.545 0.981
0.227 0.455 0.481
0.437 0.874 0.852
0.563 0.126 0.352
0.430 0.860 0.129
0.570 0.140 0.629
0.111 0.222 0.126
0.889 0.778 0.626
0.569 0.139 0.903
0.231 0.462 0.771
```

## Properties
- Total magnetic moment: 20.3 μB per cell
- Volume: 610.9 Å³/cell
- Energy of formation from the pure elements: -0.8091 eV/atom
- Electronic total energy: -213.9 eV/cell
- DOS at the Fermi energy: 42.26 states/eV/f.u.